CoRuPt2: relaxed, PBE.

Lattice parameters (Å, degrees): 4.6575 4.6575 2.7014 90.00 90.00 90.00
Site moments in Bohr magnetons follow the coordinates.
Atoms (fractional coordinates):
Co (0.0000, 0.5000, 0.5000)  2.08
Ru (0.5000, 0.0000, 0.5000)  0.79
Pt (0.0000, 0.0000, 0.0000)  0.27
Pt (0.5000, 0.5000, 0.0000)  0.27

Results
The density of states at the Fermi level comes out at 5.51 states/eV per cell. The value obtained for the formation energy is 0.176 eV/atom. The symmetry is P4/mmm, No. 123. As for the crystal system: tetragonal.

Ba2MgNb6N2O14: relaxed, PBE.

Lattice parameters (Å, degrees): 10.5921 10.5921 9.0589 89.57 89.57 21.87
Atoms (fractional coordinates):
O (0.4344, 0.4344, 0.0695)
O (0.7022, 0.7022, 0.5803)
O (0.7135, 0.7135, 0.2442)
O (0.2917, 0.2917, 0.1011)
O (0.5637, 0.5637, 0.9125)
O (0.5789, 0.5789, 0.2455)
O (0.4302, 0.4302, 0.4245)
O (0.8522, 0.8522, 0.9263)
O (0.4242, 0.4242, 0.7519)
O (0.8542, 0.8542, 0.5886)
O (0.1445, 0.1445, 0.0959)
O (0.2874, 0.2874, 0.4175)
O (0.5608, 0.5608, 0.5661)
O (0.1355, 0.1355, 0.4193)
N (0.2923, 0.2923, 0.7497)
N (0.7065, 0.7065, 0.9107)
Nb (0.7602, 0.7602, 0.7376)
Nb (0.3692, 0.3692, 0.9317)
Nb (0.2231, 0.2231, 0.2802)
Nb (0.6290, 0.6290, 0.4338)
Nb (0.3639, 0.3639, 0.5648)
Nb (0.6302, 0.6302, 0.0418)
Mg (0.7774, 0.7774, 0.0701)
Ba (0.0174, 0.0174, 0.7364)
Ba (0.9839, 0.9839, 0.2532)

Results
The density of states at the Fermi level comes out at 2.36 states/eV per cell. The total energy is -8.43 eV per atom. The symmetry is Cm, No. 8. As for the crystal system: monoclinic.

LaSeBr2: relaxed, PBE.

Lattice parameters (Å, degrees): 8.2155 8.2155 8.2155 152.04 145.44 45.03
Atoms (fractional coordinates):
Br (0.9014, 0.9014, 0.0000)
Br (0.5986, 0.5986, 0.0000)
La (0.7500, 0.2500, 0.5000)
Se (0.2500, 0.7500, 0.5000)

Results
The density of states at the Fermi level comes out at 1.94 states/eV per cell. The total energy is -4.37 eV per atom. The symmetry is Immm, No. 71. As for the crystal system: orthorhombic.

TeAuSe2: relaxed, PBE.

Lattice parameters (Å, degrees): 5.9877 5.9877 5.9877 142.23 90.20 101.89
Atoms (fractional coordinates):
Se (0.2420, 0.7420, 0.5000)
Se (0.9897, 0.9897, 0.0000)
Te (0.5070, 0.5070, 0.0000)
Au (0.7613, 0.2613, 0.5000)

Results
The density of states at the Fermi level comes out at 3.63 states/eV per cell. The total energy is -3.12 eV per atom. The symmetry is Imm2, No. 44. As for the crystal system: orthorhombic.

ZnSiSb2: relaxed, PBE.

Lattice parameters (Å, degrees): 7.2855 7.2855 7.2855 31.07 31.07 31.07
Atoms (fractional coordinates):
Si (0.7500, 0.7500, 0.7500)
Sb (0.4957, 0.4957, 0.4957)
Sb (0.0043, 0.0043, 0.0043)
Zn (0.2500, 0.2500, 0.2500)

Results
The density of states at the Fermi level comes out at 2.28 states/eV per cell. The total energy is -3.56 eV per atom. The symmetry is R-3m, No. 166. As for the crystal system: trigonal.

CrAuS2N: relaxed, PBE.

Lattice parameters (Å, degrees): 4.6835 4.6835 3.5121 90.00 90.00 90.00
Atoms (fractional coordinates):
Cr (0.0000, 0.0000, 0.0000)
N (0.0000, 0.0000, 0.5000)
S (0.5000, 0.0000, 0.0000)
S (0.0000, 0.5000, 0.0000)
Au (0.5000, 0.5000, 0.5000)

Results
The density of states at the Fermi level comes out at 5.28 states/eV per cell. The total energy is -5.49 eV per atom. The symmetry is P4/mmm, No. 123. As for the crystal system: tetragonal.

CaNd4Ho: relaxed, PBE.

Lattice parameters (Å, degrees): 3.6417 5.2256 11.1055 90.00 89.98 90.00
Atoms (fractional coordinates):
Ho (0.5000, 0.0000, 0.5000)
Ca (0.0000, 0.5000, 0.0000)
Nd (0.9993, 0.5000, 0.6597)
Nd (0.0007, 0.5000, 0.3403)
Nd (0.5010, 0.0000, 0.1816)
Nd (0.4990, 0.0000, 0.8184)

Results
The density of states at the Fermi level comes out at 8.85 states/eV per cell. The value obtained for the formation energy is 0.042 eV/atom. The symmetry is Pmmm, No. 47. As for the crystal system: orthorhombic.

Cd2InTe: relaxed, PBE.

Lattice parameters (Å, degrees): 4.3789 4.3789 6.1428 90.00 90.00 90.00
Atoms (fractional coordinates):
Cd (0.0000, 0.0000, 0.1194)
Cd (0.5000, 0.5000, 0.1326)
Te (0.5000, 0.5000, 0.6314)
In (0.0000, 0.0000, 0.6166)

Results
The density of states at the Fermi level comes out at 2.43 states/eV per cell. The total energy is -1.93 eV per atom. The symmetry is P4mm, No. 99. As for the crystal system: tetragonal.

> density of states at the Fermi level of number 1 (CoRuPt2)?

5.51 states/eV per cell

> Among the records above, which one has the lowest density of states at the Fermi level?

LaSeBr2

> Which formula does entry 4 have?

TeAuSe2

> density of states at the Fermi level of number 3 (LaSeBr2)?

1.94 states/eV per cell